Below is SmGe2Pt2 after structural relaxation, with properties calculated at the PBE-GGA level.

## Properties
energy of formation from the pure elements	-918	meV/atom
crystal system	monoclinic
SG	P2_1/m

Cell lengths 4.373, 4.373, 10.036 Å; angles 90.00, 90.04, 90.00 degrees
Atoms (fractional coordinates):
Sm  0.250  0.250  0.250
Sm  0.750  0.750  0.750
Ge  0.248  0.250  0.630
Ge  0.250  0.750  0.000
Ge  0.750  0.250  0.000
Ge  0.752  0.750  0.370
Pt  0.250  0.250  0.874
Pt  0.252  0.750  0.500
Pt  0.748  0.250  0.500
Pt  0.750  0.750  0.126

=====

Below is LiCuOs2 after structural relaxation, with properties calculated at the PBE-GGA level.

## Properties
energy of formation from the pure elements	668	meV/atom
crystal system	cubic
SG	Fm-3m
excess energy over the best structure of this formula in the dataset	477	meV per atom

Cell lengths 5.867, 5.867, 5.867 Å; angles 90.00, 90.00, 90.00 degrees
Atoms (fractional coordinates):
Li  0.000  0.000  0.000
Li  0.000  0.500  0.500
Li  0.500  0.000  0.500
Li  0.500  0.500  0.000
Cu  0.000  0.000  0.500
Cu  0.000  0.500  0.000
Cu  0.500  0.000  0.000
Cu  0.500  0.500  0.500
Os  0.250  0.250  0.250
Os  0.250  0.250  0.750
Os  0.250  0.750  0.250
Os  0.250  0.750  0.750
Os  0.750  0.250  0.250
Os  0.750  0.250  0.750
Os  0.750  0.750  0.250
Os  0.750  0.750  0.750

=====

Below is LaHgBr2 after structural relaxation, with properties calculated at the PBE-GGA level.

## Properties
ΔE_f (raw)	-1.06	eV per atom
crystal system	orthorhombic
SG	Pmmm
excess energy over the best structure of this formula in the dataset	257	meV per atom

Cell lengths 4.571, 4.600, 5.256 Å; angles 90.00, 90.00, 90.00 degrees
Atoms (fractional coordinates):
La  0.000  0.000  0.000
Hg  0.000  0.500  0.500
Br  0.500  0.000  0.500
Br  0.500  0.500  0.000

=====

Below is CaZr2Ni after structural relaxation, with properties calculated at the PBE-GGA level.

## Properties
energy of formation from the pure elements	354	meV/atom
crystal system	monoclinic
SG	C2/m
excess energy over the best structure of this formula in the dataset	434	meV per atom

Cell lengths 5.735, 10.886, 3.120 Å; angles 90.00, 116.84, 90.00 degrees
Atoms (fractional coordinates):
Ca  0.000  0.000  0.000
Ca  0.500  0.500  0.000
Zr  0.250  0.250  0.500
Zr  0.250  0.750  0.500
Zr  0.750  0.250  0.500
Zr  0.750  0.750  0.500
Ni  0.000  0.500  0.000
Ni  0.500  0.000  0.000

=====

Below is Tm6CoPd after structural relaxation, with properties calculated at the PBE-GGA level.

## Properties
energy of formation from the pure elements	-208	meV/atom
crystal system	monoclinic
SG	C2/m

Cell lengths 6.595, 10.793, 6.572 Å; angles 90.00, 108.70, 90.00 degrees
Atoms (fractional coordinates):
Tm  0.229  0.174  0.239
Tm  0.229  0.826  0.239
Tm  0.250  0.000  0.767
Tm  0.250  0.500  0.233
Tm  0.271  0.326  0.761
Tm  0.271  0.674  0.761
Tm  0.729  0.326  0.239
Tm  0.729  0.674  0.239
Tm  0.750  0.000  0.233
Tm  0.750  0.500  0.767
Tm  0.771  0.174  0.761
Tm  0.771  0.826  0.761
Co  0.000  0.000  0.000
Co  0.500  0.500  0.000
Pd  0.000  0.500  0.500
Pd  0.500  0.000  0.500

=====

Below is SiHg2Te after structural relaxation, with properties calculated at the PBE-GGA level.

## Properties
ΔE_f (raw)	0.42	eV per atom
crystal system	tetragonal
SG	I-4m2
excess energy over the best structure of this formula in the dataset	303	meV per atom

Cell lengths 5.090, 5.090, 7.696 Å; angles 90.00, 90.00, 90.00 degrees
Atoms (fractional coordinates):
Si  0.000  0.000  0.000
Si  0.500  0.500  0.500
Hg  0.000  0.000  0.500
Hg  0.000  0.500  0.250
Hg  0.500  0.000  0.750
Hg  0.500  0.500  0.000
Te  0.000  0.500  0.750
Te  0.500  0.000  0.250

=====

Below is Li2CaCu after structural relaxation, with properties calculated at the PBE-GGA level.

## Properties
energy of formation from the pure elements	95	meV/atom
crystal system	cubic
SG	Fm-3m
excess energy over the best structure of this formula in the dataset	131	meV per atom

Cell lengths 6.840, 6.840, 6.840 Å; angles 90.00, 90.00, 90.00 degrees
Atoms (fractional coordinates):
Li  0.250  0.250  0.250
Li  0.250  0.250  0.750
Li  0.250  0.750  0.250
Li  0.250  0.750  0.750
Li  0.750  0.250  0.250
Li  0.750  0.250  0.750
Li  0.750  0.750  0.250
Li  0.750  0.750  0.750
Ca  0.000  0.000  0.000
Ca  0.000  0.500  0.500
Ca  0.500  0.000  0.500
Ca  0.500  0.500  0.000
Cu  0.000  0.000  0.500
Cu  0.000  0.500  0.000
Cu  0.500  0.000  0.000
Cu  0.500  0.500  0.500

=====

Below is Rb4NaHg3F12 after structural relaxation, with properties calculated at the PBE-GGA level.

## Properties
ΔE_f (raw)	-2.08	eV per atom
crystal system	cubic
SG	Im-3m

Cell lengths 7.907, 7.907, 7.907 Å; angles 109.47, 109.47, 109.47 degrees
Atoms (fractional coordinates):
Rb  0.000  0.000  0.500
Rb  0.000  0.500  0.000
Rb  0.500  0.000  0.000
Rb  0.500  0.500  0.500
Na  0.000  0.000  0.000
Hg  0.000  0.500  0.500
Hg  0.500  0.000  0.500
Hg  0.500  0.500  0.000
F  0.000  0.257  0.257
F  0.000  0.743  0.743
F  0.250  0.500  0.750
F  0.250  0.750  0.500
F  0.257  0.000  0.257
F  0.257  0.257  0.000
F  0.500  0.250  0.750
F  0.500  0.750  0.250
F  0.743  0.000  0.743
F  0.743  0.743  0.000
F  0.750  0.250  0.500
F  0.750  0.500  0.250

=====

Below is TmPaPt2O8 after structural relaxation, with properties calculated at the PBE-GGA level.

## Properties
ΔE_f (raw)	-1.76	eV per atom
crystal system	tetragonal
SG	I-4m2

Cell lengths 6.056, 6.056, 6.056 Å; angles 109.79, 109.79, 108.84 degrees
Atoms (fractional coordinates):
Tm  0.000  0.000  0.000
Pa  0.250  0.750  0.500
Pt  0.500  0.500  0.000
Pt  0.750  0.250  0.500
O  0.285  0.108  0.824
O  0.285  0.461  0.176
O  0.360  0.033  0.327
O  0.539  0.715  0.824
O  0.706  0.033  0.673
O  0.892  0.715  0.176
O  0.967  0.294  0.327
O  0.967  0.640  0.673

=====

Below is Tl2SbSe after structural relaxation, with properties calculated at the PBE-GGA level.

## Properties
ΔE_f (raw)	-0.01	eV per atom
crystal system	orthorhombic
SG	Pmmm
excess energy over the best structure of this formula in the dataset	88	meV per atom

Cell lengths 4.066, 4.947, 5.607 Å; angles 90.00, 90.00, 90.00 degrees
Atoms (fractional coordinates):
Tl  0.000  0.000  0.000
Tl  0.500  0.500  0.000
Sb  0.000  0.500  0.500
Se  0.500  0.000  0.500

=====

Below is TlSnOs3 after structural relaxation, with properties calculated at the PBE-GGA level.

## Properties
energy of formation from the pure elements	2483	meV/atom
crystal system	cubic
SG	Pm-3m

Cell lengths 4.872, 4.872, 4.872 Å; angles 90.00, 90.00, 90.00 degrees
Atoms (fractional coordinates):
Tl  0.000  0.000  0.000
Sn  0.500  0.500  0.500
Os  0.000  0.500  0.500
Os  0.500  0.000  0.500
Os  0.500  0.500  0.000

=====

Below is SrSiCl after structural relaxation, with properties calculated at the PBE-GGA level.

## Properties
ΔE_f (raw)	-0.21	eV per atom
crystal system	cubic
SG	F-43m

Cell lengths 7.072, 7.072, 7.072 Å; angles 90.00, 90.00, 90.00 degrees
Atoms (fractional coordinates):
Sr  0.000  0.000  0.000
Sr  0.000  0.500  0.500
Sr  0.500  0.000  0.500
Sr  0.500  0.500  0.000
Si  0.000  0.000  0.500
Si  0.000  0.500  0.000
Si  0.500  0.000  0.000
Si  0.500  0.500  0.500
Cl  0.250  0.250  0.250
Cl  0.250  0.750  0.750
Cl  0.750  0.250  0.750
Cl  0.750  0.750  0.250

=====

Below is CdFePt2 after structural relaxation, with properties calculated at the PBE-GGA level.

## Properties
energy of formation from the pure elements	-223	meV/atom
crystal system	monoclinic
SG	P2/m

Cell lengths 2.869, 3.695, 6.007 Å; angles 90.00, 90.17, 90.00 degrees
Atoms (fractional coordinates):
Cd  0.000  0.000  0.000
Fe  0.000  0.000  0.500
Pt  0.499  0.500  0.727
Pt  0.501  0.500  0.273

=====

Below is Cs2FeSeS after structural relaxation, with properties calculated at the PBE-GGA level.

## Properties
ΔE_f (raw)	-0.13	eV per atom
crystal system	tetragonal
SG	P4/mmm

Cell lengths 6.765, 6.765, 4.487 Å; angles 90.00, 90.00, 90.00 degrees
Atoms (fractional coordinates):
Cs  0.000  0.500  0.000
Cs  0.500  0.000  0.000
Fe  0.000  0.000  0.000
Se  0.000  0.000  0.500
S  0.500  0.500  0.500

=====

Below is LaNd2DyTl4 after structural relaxation, with properties calculated at the PBE-GGA level.

## Properties
energy of formation from the pure elements	-376	meV/atom
crystal system	trigonal
SG	R-3m

Cell lengths 9.583, 9.583, 9.583 Å; angles 33.43, 33.43, 33.43 degrees
Atoms (fractional coordinates):
La  0.000  0.000  0.000
Nd  0.249  0.249  0.249
Nd  0.751  0.751  0.751
Dy  0.500  0.500  0.500
Tl  0.127  0.127  0.127
Tl  0.377  0.377  0.377
Tl  0.623  0.623  0.623
Tl  0.873  0.873  0.873

=====

Below is Ho2SiB3 after structural relaxation, with properties calculated at the PBE-GGA level.

## Properties
ΔE_f (raw)	-0.65	eV per atom
crystal system	orthorhombic
SG	Fmmm

Cell lengths 7.134, 6.808, 5.272 Å; angles 71.10, 64.54, 44.35 degrees
Atoms (fractional coordinates):
Ho  0.244  0.756  0.244
Ho  0.250  0.250  0.250
Ho  0.750  0.750  0.750
Ho  0.756  0.244  0.756
Si  0.334  0.334  0.666
Si  0.666  0.666  0.334
B  0.154  0.691  0.846
B  0.155  0.155  0.845
B  0.309  0.846  0.691
B  0.691  0.154  0.309
B  0.845  0.845  0.155
B  0.846  0.309  0.154

=====

Below is La2CeSmBi4 after structural relaxation, with properties calculated at the PBE-GGA level.

## Properties
energy of formation from the pure elements	-959	meV/atom
crystal system	monoclinic
SG	P2/m

Cell lengths 8.038, 4.645, 8.045 Å; angles 90.00, 109.45, 90.00 degrees
Atoms (fractional coordinates):
La  0.000  0.000  0.000
La  0.500  0.500  0.000
Ce  0.000  0.500  0.500
Sm  0.500  0.000  0.500
Bi  0.248  0.000  0.743
Bi  0.252  0.500  0.257
Bi  0.748  0.500  0.743
Bi  0.752  0.000  0.257

=====

Below is Pr2DyY after structural relaxation, with properties calculated at the PBE-GGA level.

## Properties
energy of formation from the pure elements	18	meV/atom
crystal system	trigonal
SG	R3m
excess energy over the best structure of this formula in the dataset	9	meV per atom

Cell lengths 3.651, 3.651, 35.365 Å; angles 90.00, 90.00, 120.00 degrees
Atoms (fractional coordinates):
Pr  0.000  0.000  0.000
Pr  0.000  0.000  0.167
Pr  0.333  0.667  0.667
Pr  0.333  0.667  0.834
Pr  0.667  0.333  0.333
Pr  0.667  0.333  0.500
Dy  0.000  0.000  0.583
Dy  0.333  0.667  0.249
Dy  0.667  0.333  0.916
Y  0.000  0.000  0.750
Y  0.333  0.667  0.417
Y  0.667  0.333  0.084

=====

Below is Zr after structural relaxation, with properties calculated at the PBE-GGA level.

## Properties
energy of formation from the pure elements	0	meV/atom
crystal system	hexagonal
SG	P6_3/mmc
excess energy over the best structure of this formula in the dataset	0	meV per atom

Cell lengths 3.235, 3.235, 5.161 Å; angles 90.00, 90.00, 120.00 degrees
Atoms (fractional coordinates):
Zr  0.333  0.667  0.250
Zr  0.667  0.333  0.750

=====

Below is LiTl2GeO4 after structural relaxation, with properties calculated at the PBE-GGA level.

## Properties
ΔE_f (raw)	-1.11	eV per atom
crystal system	orthorhombic
SG	Fddd

Cell lengths 10.634, 9.265, 6.375 Å; angles 83.48, 59.96, 36.56 degrees
Atoms (fractional coordinates):
Li  0.125  0.125  0.125
Li  0.875  0.875  0.875
Tl  0.196  0.196  0.554
Tl  0.446  0.446  0.804
Tl  0.554  0.554  0.196
Tl  0.804  0.804  0.446
Ge  0.375  0.375  0.375
Ge  0.625  0.625  0.625
O  0.134  0.727  0.441
O  0.198  0.441  0.727
O  0.273  0.866  0.802
O  0.441  0.198  0.134
O  0.559  0.802  0.866
O  0.727  0.134  0.198
O  0.802  0.559  0.273
O  0.866  0.273  0.559

=====

Below is YHfBr after structural relaxation, with properties calculated at the PBE-GGA level.

## Properties
ΔE_f (raw)	-0.62	eV per atom
crystal system	monoclinic
SG	C2/m

Cell lengths 6.099, 3.521, 15.736 Å; angles 90.00, 97.06, 90.00 degrees
Atoms (fractional coordinates):
Y  0.079  0.000  0.248
Y  0.421  0.500  0.752
Y  0.579  0.500  0.248
Y  0.921  0.000  0.752
Hf  0.191  0.500  0.077
Hf  0.309  0.000  0.923
Hf  0.691  0.000  0.077
Hf  0.809  0.500  0.923
Br  0.213  0.000  0.621
Br  0.287  0.500  0.379
Br  0.713  0.500  0.621
Br  0.787  0.000  0.379

=====

Below is Ta2HgPb after structural relaxation, with properties calculated at the PBE-GGA level.

## Properties
energy of formation from the pure elements	519	meV/atom
crystal system	orthorhombic
SG	Imm2
excess energy over the best structure of this formula in the dataset	196	meV per atom

Cell lengths 3.503, 4.864, 9.823 Å; angles 90.00, 90.00, 90.00 degrees
Atoms (fractional coordinates):
Ta  0.000  0.000  0.000
Ta  0.000  0.500  0.288
Ta  0.500  0.000  0.788
Ta  0.500  0.500  0.500
Hg  0.000  0.500  0.758
Hg  0.500  0.000  0.258
Pb  0.000  0.000  0.524
Pb  0.500  0.500  0.024

=====

Below is PuPa2Si after structural relaxation, with properties calculated at the PBE-GGA level.

## Properties
ΔE_f (raw)	-0.12	eV per atom
crystal system	cubic
SG	Fm-3m
excess energy over the best structure of this formula in the dataset	172	meV per atom

Cell lengths 7.017, 7.017, 7.017 Å; angles 90.00, 90.00, 90.00 degrees
Atoms (fractional coordinates):
Pu  0.000  0.000  0.000
Pu  0.000  0.500  0.500
Pu  0.500  0.000  0.500
Pu  0.500  0.500  0.000
Pa  0.250  0.250  0.250
Pa  0.250  0.250  0.750
Pa  0.250  0.750  0.250
Pa  0.250  0.750  0.750
Pa  0.750  0.250  0.250
Pa  0.750  0.250  0.750
Pa  0.750  0.750  0.250
Pa  0.750  0.750  0.750
Si  0.000  0.000  0.500
Si  0.000  0.500  0.000
Si  0.500  0.000  0.000
Si  0.500  0.500  0.500

=====

Below is SrHfRh2Au after structural relaxation, with properties calculated at the PBE-GGA level.

## Properties
energy of formation from the pure elements	-59	meV/atom
crystal system	tetragonal
SG	P4/mmm

Cell lengths 4.835, 4.835, 5.347 Å; angles 90.00, 90.00, 90.00 degrees
Atoms (fractional coordinates):
Sr  0.000  0.000  0.000
Hf  0.500  0.500  0.500
Rh  0.000  0.500  0.500
Rh  0.500  0.000  0.500
Au  0.500  0.500  0.000

=====

Below is KBe2Pb after structural relaxation, with properties calculated at the PBE-GGA level.

## Properties
energy of formation from the pure elements	473	meV/atom
crystal system	monoclinic
SG	Pm

Cell lengths 4.326, 4.069, 6.187 Å; angles 90.00, 108.53, 90.00 degrees
Atoms (fractional coordinates):
K  0.000  0.000  0.000
Be  0.670  0.000  0.431
Be  0.703  0.500  0.375
Pb  0.295  0.500  0.568

=====

Below is BaLiCd2Hg after structural relaxation, with properties calculated at the PBE-GGA level.

## Properties
energy of formation from the pure elements	-240	meV/atom
crystal system	tetragonal
SG	P4/mmm

Cell lengths 5.209, 5.209, 5.227 Å; angles 90.00, 90.00, 90.00 degrees
Atoms (fractional coordinates):
Ba  0.000  0.000  0.000
Li  0.500  0.500  0.500
Cd  0.000  0.500  0.500
Cd  0.500  0.000  0.500
Hg  0.500  0.500  0.000